1.
This record from Alexandria describes a geometry-optimized Ti2HIrCl structure. The functional is PBEsol.

Structure (extended XYZ):
```
5
Lattice="4.3170 0.0000 0.0000 0.0000 4.3702 0.0000 0.0000 0.0000 4.3702" Properties=species:S:1:pos:R:3 pbc="T T T"
Cl 0.0000 0.0000 0.0000
Ir 2.1585 0.0000 0.0000
H 2.1585 2.1851 2.1851
Ti 0.0000 0.0000 2.1851
Ti 0.0000 2.1851 0.0000
```

Results
DOS(E_F) in states/eV per atom: 1.15

2.
This record from Alexandria describes a geometry-optimized MgCrRh structure. The functional is PBEsol.

Structure (extended XYZ):
```
3
Lattice="2.8693 0.0000 0.0000 0.0000 2.8693 0.0000 -1.4346 -1.4346 5.0923" Properties=species:S:1:pos:R:3 pbc="T T T"
Cr 1.4346 1.4346 4.9465
Mg 1.4346 1.4346 1.7110
Rh 0.0000 0.0000 3.5272
```

Results
DOS(E_F) in states/eV per atom: 0.95
Calculated formation energy in eV per atom: 0.075

3.
This record from Alexandria describes a geometry-optimized NaGaTe3 structure. The functional is PBEsol.

Structure (extended XYZ):
```
5
Lattice="-3.8910 3.7778 -0.5939 -2.5939 -1.9846 4.3700 2.8100 3.3991 3.2116" Properties=species:S:1:pos:R:3 pbc="T T T"
Na 0.0000 0.0000 0.0000
Te -1.2970 -0.9923 2.1850
Te 1.4050 1.6995 1.6058
Te -1.9455 1.8889 -0.2970
Ga -1.8375 2.5961 3.4938
```

Results
DOS(E_F) in states/eV per atom: 1.10

Number 1: raw total energy -5.403 eV/atom. Number 2: raw total energy -6.624 eV/atom. Number 3: raw total energy -2.554 eV/atom.